A plane-wave DFT calculation with PBE was carried out for Tb4Nd2SmDy2 after structural relaxation.

Cell and atoms, written as CIF:
```
data_Tb4Nd2SmDy2
_space_group_name_H-M_alt 'C 1 2/m 1'
_space_group_IT_number 12
_cell_length_a 18.7961
_cell_length_b 3.6216
_cell_length_c 9.6242
_cell_angle_alpha 90.00
_cell_angle_beta 115.70
_cell_angle_gamma 90.00
loop_
_space_group_symop_operation_xyz
'x,y,z'
'-x,-y,-z'
'-x,y,-z'
'x,-y,z'
'x+1/2,y+1/2,z'
'-x+1/2,-y+1/2,-z'
'-x+1/2,y+1/2,-z'
'x+1/2,-y+1/2,z'
loop_
_atom_site_label
_atom_site_fract_x
_atom_site_fract_y
_atom_site_fract_z
Tb1 0.0191 0.0000 0.3358
Tb2 0.1859 0.5000 0.3357
Nd1 0.1663 0.0000 0.9991
Sm1 0.0000 0.5000 0.0000
Dy1 0.1473 0.5000 0.6634
```

Results
Its energy of formation is -2.3 meV/atom. The density of states at the Fermi level comes out at 11.992 states/eV/f.u. As for the theoretical density: 7.873 Mg/m³. The total energy comes out at -4.667 eV per atom.



A plane-wave DFT calculation with PBE was carried out for CaNpScO6 after structural relaxation.

Cell and atoms, written as CIF:
```
data_CaNpScO6
_space_group_name_H-M_alt 'P -3 1 c'
_space_group_IT_number 163
_space_group_name_Hall '-P 3 2c'
_cell_length_a 5.5514
_cell_length_b 5.5514
_cell_length_c 9.7876
_cell_angle_alpha 90.00
_cell_angle_beta 90.00
_cell_angle_gamma 120.00
loop_
_atom_site_label
_atom_site_fract_x
_atom_site_fract_y
_atom_site_fract_z
Ca1 0.0000 0.0000 0.0000
Np1 0.3333 0.6667 0.2500
Sc1 0.3333 0.6667 0.7500
O1 0.0128 0.3681 0.1409
```

Results
For the uncorrected formation energy, the calculation gives -2982 meV per atom. As for the theoretical density: 5.315 Mg/m³. The total energy comes out at -8.652 eV per atom.



A plane-wave DFT calculation with PBE was carried out for Ho3ZrCu2 after structural relaxation.

Cell and atoms, written as CIF:
```
data_Ho3ZrCu2
_space_group_name_H-M_alt 'P 4/m m m'
_space_group_IT_number 123
_space_group_name_Hall '-P 4 2'
_cell_length_a 3.4222
_cell_length_b 3.4222
_cell_length_c 11.5840
_cell_angle_alpha 90.00
_cell_angle_beta 90.00
_cell_angle_gamma 90.00
loop_
_atom_site_label
_atom_site_fract_x
_atom_site_fract_y
_atom_site_fract_z
Ho1 0.0000 0.0000 0.0000
Ho2 0.0000 0.0000 0.2999
Zr1 0.5000 0.5000 0.5000
Cu1 0.5000 0.5000 0.1496
```

Results
Its energy of formation is -146.8 meV/atom. The density of states at the Fermi level comes out at 4.507 states/eV/f.u. As for the theoretical density: 8.729 Mg/m³. The total energy comes out at -5.226 eV per atom.



A plane-wave DFT calculation with PBE was carried out for NdSmSnPd after structural relaxation.

Cell and atoms, written as CIF:
```
data_NdSmSnPd
_space_group_name_H-M_alt 'F -4 3 m'
_space_group_IT_number 216
_space_group_name_Hall 'F -4 2 3'
_cell_length_a 7.4925
_cell_length_b 7.4925
_cell_length_c 7.4925
_cell_angle_alpha 90.00
_cell_angle_beta 90.00
_cell_angle_gamma 90.00
loop_
_atom_site_label
_atom_site_fract_x
_atom_site_fract_y
_atom_site_fract_z
Nd1 0.0000 0.0000 0.0000
Sm1 0.0000 0.0000 0.5000
Sn1 0.2500 0.2500 0.7500
Pd1 0.2500 0.2500 0.2500
```

Results
Its energy of formation is -689.6 meV/atom. The density of states at the Fermi level comes out at 2.870 states/eV/f.u. As for the theoretical density: 8.207 Mg/m³. The total energy comes out at -5.360 eV per atom.



Number 3 is which compound? Ho3ZrCu2